Record 1
# Co7Au, optimized geometry, DFT PBE
data_Co7Au
_cell_length_a 7.248
_cell_length_b 7.248
_cell_length_c 7.248
_cell_angle_alpha 90.00
_cell_angle_beta 90.00
_cell_angle_gamma 90.00
_space_group_name_H-M_alt 'F m -3 m'
_space_group_IT_number 225
_space_group_name_Hall '-F 4 2 3'
loop_
_atom_site_label
_atom_site_fract_x
_atom_site_fract_y
_atom_site_fract_z
Co1 0.000 0.000 0.000
Co2 0.000 0.250 0.250
Au1 0.000 0.000 0.500
# Magnetic moment, μB/f.u.: 11.9
# DFT formation energy, eV/atom: 0.136

***

Record 2
# Cs2SrPdCl6, optimized geometry, DFT PBE
data_Cs2SrPdCl6
_cell_length_a 10.832
_cell_length_b 10.832
_cell_length_c 10.832
_cell_angle_alpha 90.00
_cell_angle_beta 90.00
_cell_angle_gamma 90.00
_space_group_name_H-M_alt 'F m -3 m'
_space_group_IT_number 225
_space_group_name_Hall '-F 4 2 3'
loop_
_atom_site_label
_atom_site_fract_x
_atom_site_fract_y
_atom_site_fract_z
Cs1 0.250 0.250 0.250
Sr1 0.000 0.000 0.000
Pd1 0.000 0.000 0.500
Cl1 0.000 0.000 0.264
# ΔE to the lowest computed polymorph, eV per formula unit: 0.05
# Magnetic moment, μB/f.u.: 2.0
# Formation energy without anion corrections, eV/atom: -1.629

***

Record 3
# Li2SiSbIr, optimized geometry, DFT PBE
data_Li2SiSbIr
_cell_length_a 4.728
_cell_length_b 4.728
_cell_length_c 4.524
_cell_angle_alpha 90.00
_cell_angle_beta 90.00
_cell_angle_gamma 90.00
_space_group_name_H-M_alt 'P 4/m m m'
_space_group_IT_number 123
_space_group_name_Hall '-P 4 2'
loop_
_atom_site_label
_atom_site_fract_x
_atom_site_fract_y
_atom_site_fract_z
Li1 0.000 0.500 0.000
Si1 0.000 0.000 0.500
Sb1 0.500 0.500 0.500
Ir1 0.000 0.000 0.000
# Magnetic moment, μB/f.u.: 0.0
# Formation energy without anion corrections, eV/atom: 0.118

***

Record 4
# ScBSb2Te, optimized geometry, DFT PBE
data_ScBSb2Te
_cell_length_a 5.466
_cell_length_b 5.466
_cell_length_c 5.494
_cell_angle_alpha 90.00
_cell_angle_beta 90.00
_cell_angle_gamma 90.00
_space_group_name_H-M_alt 'P 4/m m m'
_space_group_IT_number 123
_space_group_name_Hall '-P 4 2'
loop_
_atom_site_label
_atom_site_fract_x
_atom_site_fract_y
_atom_site_fract_z
Sc1 0.000 0.000 0.000
B1 0.500 0.500 0.500
Sb1 0.000 0.500 0.000
Te1 0.000 0.000 0.500
# ΔE to the lowest computed polymorph, eV per formula unit: 3.00
# Magnetic moment, μB/f.u.: 0.0
# Formation energy without anion corrections, eV/atom: 1.015

***

Record 5
# Be5As, optimized geometry, DFT PBE
data_Be5As
_cell_length_a 2.574
_cell_length_b 2.574
_cell_length_c 9.349
_cell_angle_alpha 90.00
_cell_angle_beta 90.00
_cell_angle_gamma 90.00
_space_group_name_H-M_alt 'P 4/m m m'
_space_group_IT_number 123
_space_group_name_Hall '-P 4 2'
loop_
_atom_site_label
_atom_site_fract_x
_atom_site_fract_y
_atom_site_fract_z
Be1 0.000 0.000 0.000
Be2 0.000 0.000 0.260
Be3 0.500 0.500 0.130
As1 0.500 0.500 0.500
# ΔE to the lowest computed polymorph, eV per formula unit: 0.07
# Magnetic moment, μB/f.u.: 0.0
# DFT formation energy, eV/atom: 0.302

***

Question: Which value of magnetic moment does entry 4 give?
Answer: 0.0 μB/f.u.